# 1
Here is a relaxed Ta2RhBr crystal from Alexandria via LeMat-Bulk. Energies are from GGA-PBE.

Unit cell a=4.949 b=4.949 c=4.979 alpha=103.00 beta=103.00 gamma=35.70
Fractional positions:
Ta 0.000 0.000 0.000
Ta 0.746 0.746 0.366
Rh 0.486 0.486 0.495
Br 0.253 0.253 0.850

Summary:
space-group type: Cm (8)
raw total energy: -0.5842 Ry/atom
energy above the most stable polymorph in this dataset: 218 meV/atom


# 2
Here is a relaxed TlCo4B2 crystal from Alexandria via LeMat-Bulk. Energies are from GGA-PBE.

Unit cell a=6.203 b=6.203 c=6.203 alpha=136.47 beta=136.47 gamma=63.25
Fractional positions:
Tl 0.000 0.000 0.000
Co 0.000 0.500 0.500
Co 0.251 0.251 0.000
Co 0.500 0.000 0.500
Co 0.749 0.749 0.000
B 0.424 0.424 0.000
B 0.576 0.576 0.000

Summary:
DFT formation energy: 1.4188 eV/atom
space-group type: I4/mmm (139)
raw total energy: -0.3592 Ry/atom


# 3
Here is a relaxed Cs3AgAs crystal from Alexandria via LeMat-Bulk. Energies are from GGA-PBE.

Unit cell a=6.976 b=6.976 c=6.976 alpha=90.00 beta=90.00 gamma=90.00
Fractional positions:
Cs 0.000 0.000 0.500
Cs 0.000 0.500 0.000
Cs 0.500 0.000 0.000
Ag 0.500 0.500 0.500
As 0.000 0.000 0.000

Summary:
DFT formation energy: 0.0032 eV/atom
space-group type: Pm-3m (221)
raw total energy: -0.1477 Ry/atom
energy above the most stable polymorph in this dataset: 0 meV/atom


# 4
Here is a relaxed Cs3Th3ScSe8 crystal from Alexandria via LeMat-Bulk. Energies are from GGA-PBE.

Unit cell a=9.931 b=9.931 c=9.931 alpha=50.20 beta=50.20 gamma=50.20
Fractional positions:
Cs 0.000 0.500 0.500
Cs 0.500 0.000 0.500
Cs 0.500 0.500 0.000
Th 0.000 0.000 0.500
Th 0.000 0.500 0.000
Th 0.500 0.000 0.000
Sc 0.500 0.500 0.500
Se 0.233 0.233 0.233
Se 0.243 0.720 0.720
Se 0.280 0.280 0.757
Se 0.280 0.757 0.280
Se 0.720 0.243 0.720
Se 0.720 0.720 0.243
Se 0.757 0.280 0.280
Se 0.767 0.767 0.767

Summary:
space-group type: R-3m (166)
raw total energy: -0.4066 Ry/atom